(1)
{
  "formula": "Ba2NaH8Ir",
  "functional": "GGA-PBE",
  "state": "optimized geometry",
  "cell": [[-0.664, 1.034, -5.194], [-3.525, -3.064, 2.583], [-3.759, 5.682, 1.612]],
  "species": ["Ba", "Ba", "Na", "H", "H", "H", "H", "H", "H", "H", "H", "Ir"],
  "frac_coords": [[0.667, 0.333, 0.214], [0.333, 0.667, 0.786], [0.000, 0.000, 0.500], [0.850, 0.701, 0.863], [0.299, 0.150, 0.863], [0.850, 0.150, 0.863], [0.150, 0.299, 0.137], [0.701, 0.850, 0.137], [0.150, 0.850, 0.137], [0.667, 0.333, 0.581], [0.333, 0.667, 0.419], [0.000, 0.000, 0.000]],
  "dos_ef_per_ev_atom": 0.000,
  "dft_energy_ev_per_cell": -45.90,
  "space_group": "P-3m1 (164)",
  "m_tot_mub_per_cell": 0.0
}

(2)
{
  "formula": "BaNaH6Ir",
  "functional": "GGA-PBE",
  "state": "optimized geometry",
  "cell": [[5.502, 0.000, 0.000], [2.751, 4.765, 0.000], [2.751, 1.588, 4.492]],
  "species": ["Ba", "Na", "H", "H", "H", "H", "H", "H", "Ir"],
  "frac_coords": [[0.750, 0.750, 0.750], [0.250, 0.250, 0.250], [0.783, 0.217, 0.217], [0.217, 0.783, 0.217], [0.783, 0.783, 0.217], [0.217, 0.783, 0.783], [0.783, 0.217, 0.783], [0.217, 0.217, 0.783], [0.000, 0.000, 0.000]],
  "dos_ef_per_ev_atom": 0.000,
  "dft_energy_ev_per_cell": -37.01,
  "space_group": "F-43m (216)",
  "m_tot_mub_per_cell": 0.2
}